# 1
ScAlHg2 (PBE, relaxed); Fermi-level density of states = 0.8550 states/eV/atom; VASP energy = -11.2 eV per cell; spin magnetization = 0.000 μB per formula unit; DFT formation energy = -0.131 eV per atom
1.0
-1.327 -4.007 3.596
4.054 -1.306 3.551
-2.387 4.728 -1.643
Sc Hg Al
1 2 1
Direct
0.500 0.500 0.000
0.000 0.000 0.000
0.250 0.750 0.500
0.750 0.250 0.500

=====

# 2
ScAlHg (PBE, relaxed); Fermi-level density of states = 0.5680 states/eV/atom; VASP energy = -11.5 eV per cell; spin magnetization = 0.000 μB per formula unit; E above lowest polymorph = 0.0 meV/atom; DFT formation energy = -0.387 eV per atom
1.0
4.562 0.000 0.000
-2.281 3.951 0.000
0.000 0.000 3.332
Sc Hg Al
1 1 1
Direct
0.333 0.667 0.667
0.667 0.333 0.167
0.000 0.000 0.166

=====

# 3
Sc4AlHg2 (PBE, relaxed); Fermi-level density of states = 1.2282 states/eV/atom; VASP energy = -31.4 eV per cell; spin magnetization = 0.469 μB per formula unit; DFT formation energy = -0.252 eV per atom
1.0
4.632 0.000 1.447
2.090 4.134 1.447
-0.059 -0.036 8.325
Sc Al Hg
4 1 2
Direct
0.872 0.872 0.384
0.128 0.128 0.616
0.619 0.619 0.142
0.381 0.381 0.858
0.000 0.000 0.000
0.748 0.748 0.757
0.252 0.252 0.243

=====

# 4
ScAlHg (PBE, relaxed); Fermi-level density of states = 1.1409 states/eV/atom; VASP energy = -22.5 eV per cell; spin magnetization = 0.000 μB per formula unit; E above lowest polymorph = 90.1 meV/atom; DFT formation energy = -0.297 eV per atom
1.0
-0.406 2.142 -3.525
-1.818 -3.273 -1.779
-6.480 2.401 2.205
Sc Hg Al
2 2 2
Direct
0.000 0.500 0.167
0.500 0.000 0.833
0.000 0.500 0.767
0.500 0.000 0.233
0.000 0.000 0.500
0.500 0.500 0.500

=====

# 5
Sc2AlHg (PBE, relaxed); Fermi-level density of states = 0.9297 states/eV/atom; VASP energy = -18.1 eV per cell; spin magnetization = 0.000 μB per formula unit; DFT formation energy = -0.337 eV per atom
1.0
-0.847 4.132 4.101
1.275 1.807 5.452
3.494 3.304 0.198
Sc Hg Al
2 1 1
Direct
0.991 0.991 0.010
0.756 0.756 0.743
0.234 0.234 0.264
0.519 0.519 0.482

=====

# 6
ScAlHg2 (PBE, relaxed); Fermi-level density of states = 0.4844 states/eV/atom; VASP energy = -11.3 eV per cell; spin magnetization = 0.331 μB per formula unit; DFT formation energy = -0.159 eV per atom
1.0
-1.399 0.267 3.157
-0.773 -3.375 -0.056
6.151 -1.456 2.850
Sc Hg Al
1 2 1
Direct
0.500 0.500 0.250
0.000 0.000 0.987
0.000 0.000 0.513
0.500 0.500 0.750

=====

# 7
Sc5AlHg (PBE, relaxed); Fermi-level density of states = 1.3637 states/eV/atom; VASP energy = -72.9 eV per cell; spin magnetization = 0.000 μB per formula unit; DFT formation energy = -0.107 eV per atom
1.0
5.345 -1.161 -1.398
0.594 5.438 -1.398
1.195 0.861 10.228
Sc Al Hg
10 2 2
Direct
0.008 0.585 0.158
0.242 0.514 0.471
0.585 0.008 0.658
0.871 0.129 0.250
0.486 0.758 0.029
0.514 0.242 0.971
0.129 0.871 0.750
0.415 0.992 0.342
0.758 0.486 0.529
0.992 0.415 0.842
0.517 0.483 0.250
0.483 0.517 0.750
0.000 0.000 0.000
0.000 0.000 0.500

=====

# 8
Sc3AlHg2 (PBE, relaxed); Fermi-level density of states = 0.6043 states/eV/atom; VASP energy = -25.9 eV per cell; spin magnetization = 0.242 μB per formula unit; DFT formation energy = -0.421 eV per atom
1.0
3.270 0.000 0.000
0.000 3.270 0.000
0.000 0.000 11.771
Sc Al Hg
3 1 2
Direct
0.000 0.000 0.000
0.000 0.000 0.659
0.000 0.000 0.341
0.500 0.500 0.500
0.500 0.500 0.831
0.500 0.500 0.169

=====

# 9
ScAlHg (PBE, relaxed); Fermi-level density of states = 0.8234 states/eV/atom; VASP energy = -22.9 eV per cell; spin magnetization = 0.000 μB per formula unit; E above lowest polymorph = 29.7 meV/atom; DFT formation energy = -0.358 eV per atom
1.0
5.681 -0.013 -0.010
1.842 4.174 -0.004
0.055 -2.514 5.095
Sc Hg Al
2 2 2
Direct
0.027 0.915 0.144
0.531 0.411 0.640
0.585 0.681 0.233
0.938 0.680 0.585
0.451 0.151 0.041
0.129 0.152 0.720

=====

# 10
ScAlHg (PBE, relaxed); Fermi-level density of states = 0.4617 states/eV/atom; VASP energy = -22.6 eV per cell; spin magnetization = 0.000 μB per formula unit; E above lowest polymorph = 74.8 meV/atom; DFT formation energy = -0.312 eV per atom
1.0
3.398 0.001 0.000
-1.703 5.753 -0.009
1.697 1.320 6.267
Sc Hg Al
2 2 2
Direct
0.520 0.847 0.251
0.990 0.121 0.586
0.151 0.734 0.878
0.359 0.234 0.960
0.722 0.584 0.583
0.788 0.384 0.254

=====

# 11
Sc2AlHg (PBE, relaxed); Fermi-level density of states = 0.9550 states/eV/atom; VASP energy = -17.7 eV per cell; spin magnetization = 0.000 μB per formula unit; DFT formation energy = -0.249 eV per atom
1.0
-2.038 4.960 -7.489
-5.120 3.971 -6.546
-3.714 6.688 -5.129
Sc Hg Al
2 1 1
Direct
0.997 0.997 0.997
0.503 0.503 0.503
0.750 0.750 0.750
0.250 0.250 0.250

=====

# 12
Sc2AlHg (PBE, relaxed); Fermi-level density of states = 1.5183 states/eV/atom; VASP energy = -16.7 eV per cell; spin magnetization = 2.261 μB per formula unit; DFT formation energy = -0.006 eV per atom
1.0
-1.336 -4.615 0.972
3.368 -3.291 1.361
0.085 -1.656 4.613
Sc Hg Al
2 1 1
Direct
0.000 0.000 0.000
0.250 0.250 0.250
0.750 0.750 0.750
0.500 0.500 0.500

=====

Question: Which of these has the lowest VASP energy?
Answer: Sc5AlHg

=====

Please write out number 11 again, unchanged.
Sc2AlHg (PBE, relaxed); Fermi-level density of states = 0.9550 states/eV/atom; VASP energy = -17.7 eV per cell; spin magnetization = 0.000 μB per formula unit; DFT formation energy = -0.249 eV per atom
1.0
-2.038 4.960 -7.489
-5.120 3.971 -6.546
-3.714 6.688 -5.129
Sc Hg Al
2 1 1
Direct
0.997 0.997 0.997
0.503 0.503 0.503
0.750 0.750 0.750
0.250 0.250 0.250

=====

Question: What is the formula in the fifth record?
Answer: Sc2AlHg

=====

Question: Which value of DFT formation energy does entry 3 give?
Answer: -0.252 eV per atom